Entry 1:
VASP calculation (GGA-PBE) on a relaxed Sm3Er7In2 crystal.

Lattice parameters (Å, degrees): 6.5325 6.5325 11.1674 72.99 72.99 60.00
Element x y z (fractional)
Sm (0.0000, 0.0000, 0.0000)
Er (0.0798, 0.5799, 0.7603)
Er (0.4201, 0.4201, 0.2397)
Sm (0.8557, 0.8557, 0.4330)
Er (0.5000, 0.5000, 0.5000)
Er (0.5799, 0.5799, 0.7603)
Er (0.5799, 0.0798, 0.7603)
Er (0.9202, 0.4201, 0.2397)
In (0.6664, 0.6664, 0.0009)
Sm (0.1443, 0.1443, 0.5670)
In (0.3336, 0.3336, 0.9991)
Er (0.4201, 0.9202, 0.2397)

## Properties
- magnetization (μB per cell) = 0.3
- energy relative to the elements (eV/atom) = 0.09

Entry 2:
VASP calculation (GGA-PBE) on a relaxed Tb6Co2Ru crystal.

Lattice parameters (Å, degrees): 6.5281 7.0468 9.7517 90.00 87.76 90.00
Element x y z (fractional)
Tb (0.8508, 0.6629, 0.9193)
Tb (0.8196, 0.6655, 0.5771)
Tb (0.1804, 0.3345, 0.4229)
Ru (0.0000, 0.0000, 0.5000)
Tb (0.1670, 0.0367, 0.7586)
Tb (0.6670, 0.4633, 0.2586)
Ru (0.5000, 0.5000, 0.0000)
Tb (0.3196, 0.8345, 0.0771)
Co (0.9698, 0.3499, 0.6958)
Co (0.0302, 0.6501, 0.3042)
Tb (0.3330, 0.5367, 0.7414)
Tb (0.8330, 0.9633, 0.2414)
Co (0.5302, 0.8499, 0.8042)
Tb (0.3508, 0.8371, 0.4193)
Co (0.4698, 0.1501, 0.1958)
Tb (0.1492, 0.3371, 0.0807)
Tb (0.6804, 0.1655, 0.9229)
Tb (0.6492, 0.1629, 0.5807)

## Properties
- magnetization (μB per cell) = 0.0
- energy relative to the elements (eV/atom) = -0.16

Entry 3:
VASP calculation (GGA-PBE) on a relaxed VSiTc crystal.

Lattice parameters (Å, degrees): 4.1937 3.0686 6.4862 90.00 106.34 90.00
Element x y z (fractional)
V (0.3171, 0.5000, 0.8139)
Tc (0.6586, 0.5000, 0.4565)
Si (0.5392, 0.0000, 0.1417)
Si (0.7901, 0.0000, 0.7721)
Tc (0.0089, 0.5000, 0.0986)
V (0.1620, 0.0000, 0.4675)

## Properties
- magnetization (μB per cell) = 0.0

Entry 4:
VASP calculation (GGA-PBE) on a relaxed Nd6RuRh2Br3 crystal.

Lattice parameters (Å, degrees): 4.0978 9.1954 10.0664 111.67 101.74 90.00
Element x y z (fractional)
Br (0.8340, 0.1672, 0.6680)
Nd (0.3476, 0.8919, 0.6953)
Nd (0.6782, 0.5531, 0.3564)
Br (0.5000, 0.5000, 0.0000)
Rh (0.1673, 0.3342, 0.3347)
Nd (0.9902, 0.7823, 0.9804)
Nd (0.0098, 0.2177, 0.0196)
Nd (0.6524, 0.1081, 0.3047)
Rh (0.8327, 0.6658, 0.6653)
Ru (0.5000, 0.0000, 0.0000)
Br (0.1660, 0.8328, 0.3320)
Nd (0.3218, 0.4469, 0.6436)

## Properties
- magnetization (μB per cell) = 0.0

Entry 5:
VASP calculation (GGA-PBE) on a relaxed PrPaPN crystal.

Lattice parameters (Å, degrees): 3.9020 3.9020 13.7124 81.82 81.82 60.00
Site moments in Bohr magnetons follow the coordinates.
Element x y z (fractional)
P (0.0802, 0.0802, 0.7593)  0.00
Pr (0.2087, 0.2087, 0.3738)  0.08
Pa (0.3694, 0.3694, 0.8917)  0.02
N (0.6868, 0.6868, 0.9395)  0.00
Pa (0.6306, 0.6306, 0.1083)  0.02
P (0.9198, 0.9198, 0.2407)  0.00
N (0.3132, 0.3132, 0.0605)  0.00
Pr (0.7913, 0.7913, 0.6262)  0.08

## Properties
- magnetization (μB per cell) = 0.5

Entry 6:
VASP calculation (GGA-PBE) on a relaxed ZrPt2Rh crystal.

Lattice parameters (Å, degrees): 3.8773 3.8773 9.8576 78.66 78.66 90.00
Element x y z (fractional)
Pt (0.1144, 0.6250, 0.2500)
Zr (0.5000, 0.5000, 0.0000)
Pt (0.6356, 0.1250, 0.2500)
Rh (0.0000, 0.0000, 0.0000)
Rh (0.7500, 0.2500, 0.5000)
Zr (0.2500, 0.7500, 0.5000)
Pt (0.3750, 0.3644, 0.7500)
Pt (0.8750, 0.8856, 0.7500)

## Properties
- magnetization (μB per cell) = 0.0
- energy relative to the elements (eV/atom) = -0.47

Entry 7:
VASP calculation (GGA-PBE) on a relaxed Li3Ag3Pd2 crystal.

Lattice parameters (Å, degrees): 3.7875 4.0937 8.0574 90.00 90.00 90.00
Element x y z (fractional)
Ag (0.5000, 0.0000, 0.5000)
Ag (0.0000, 0.5000, 0.5000)
Li (0.5000, 0.5000, 0.2537)
Li (0.5000, 0.0000, 0.0000)
Ag (0.0000, 0.5000, 0.0000)
Pd (0.0000, 0.0000, 0.2392)
Pd (0.0000, 0.0000, 0.7608)
Li (0.5000, 0.5000, 0.7463)

## Properties
- magnetization (μB per cell) = 0.0
- energy relative to the elements (eV/atom) = -0.27

Entry 8:
VASP calculation (GGA-PBE) on a relaxed NaHg6H3 crystal.

Lattice parameters (Å, degrees): 15.0751 5.8135 24.4214 90.00 12.22 90.00
Element x y z (fractional)
H (0.1825, 0.1859, 0.8059)
Hg (0.5625, 0.1733, 0.0747)
H (0.0000, 0.0000, 0.5000)
H (0.3175, 0.6859, 0.6941)
H (0.6825, 0.3141, 0.3059)
Hg (0.0625, 0.3267, 0.5747)
Hg (0.2303, 0.2133, 0.1535)
Na (0.0000, 0.0000, 0.0000)
Hg (0.9808, 0.5157, 0.0714)
Na (0.5000, 0.5000, 0.5000)
Hg (0.5192, 0.0157, 0.4286)
Hg (0.7303, 0.2867, 0.6535)
Hg (0.7697, 0.7867, 0.8465)
Hg (0.4808, 0.9843, 0.5714)
H (0.5000, 0.5000, 0.0000)
H (0.8175, 0.8141, 0.1941)
Hg (0.4375, 0.8267, 0.9253)
Hg (0.2697, 0.7133, 0.3465)
Hg (0.9375, 0.6733, 0.4253)
Hg (0.0192, 0.4843, 0.9286)

## Properties
- magnetization (μB per cell) = 0.0

Entry 9:
VASP calculation (GGA-PBE) on a relaxed Sr2SiCO crystal.

Lattice parameters (Å, degrees): 5.7780 3.5977 5.7780 90.00 90.00 90.00
Site moments in Bohr magnetons follow the coordinates.
Element x y z (fractional)
Sr (0.0000, 0.0000, 0.5000)  0.01
Si (0.0000, 0.0000, 0.0000)  0.01
O (0.0000, 0.5000, 0.0000)  0.00
C (0.5000, 0.5000, 0.5000)  0.28
Sr (0.5000, 0.0000, 0.0000)  0.01

## Properties
- magnetization (μB per cell) = 0.7

Entry 10:
VASP calculation (GGA-PBE) on a relaxed Ho8GeSe4S3 crystal.

Lattice parameters (Å, degrees): 7.9631 8.0784 7.9630 119.53 120.00 90.00
Element x y z (fractional)
S (0.5000, 0.5000, 0.0000)
Ge (0.0000, 0.5000, 0.0000)
Ho (0.2589, 0.2768, 0.5179)
Se (0.0000, 0.0000, 0.5000)
Ho (0.2442, 0.7292, 0.9850)
S (0.5000, 0.5000, 0.5000)
Ho (0.7411, 0.7232, 0.4821)
Se (0.5000, 0.0000, 0.0000)
S (0.0000, 0.5000, 0.5000)
Ho (0.2592, 0.2708, 0.0150)
Ho (0.7558, 0.2708, 0.0150)
Se (0.5000, 0.0000, 0.5000)
Ho (0.7408, 0.7292, 0.9850)
Ho (0.7558, 0.2708, 0.5115)
Se (0.0000, 0.0000, 0.0000)
Ho (0.2442, 0.7292, 0.4885)

## Properties
- magnetization (μB per cell) = 0.0

Entry 11:
VASP calculation (GGA-PBE) on a relaxed LiDyCuSi crystal.

Lattice parameters (Å, degrees): 4.4801 4.4801 4.4801 60.00 60.00 60.00
Element x y z (fractional)
Cu (0.0000, 0.0000, 0.0000)
Dy (0.2500, 0.2500, 0.2500)
Li (0.5000, 0.5000, 0.5000)
Si (0.7500, 0.7500, 0.7500)

## Properties
- magnetization (μB per cell) = 0.0

Entry 12:
VASP calculation (GGA-PBE) on a relaxed HoEr2Tm6Sc3 crystal.

Lattice parameters (Å, degrees): 5.9658 5.9658 11.3621 95.02 95.02 119.95
Element x y z (fractional)
Tm (0.4194, 0.0860, 0.2581)
Tm (0.7527, 0.7527, 0.2580)
Tm (0.0860, 0.4194, 0.2581)
Tm (0.2473, 0.2473, 0.7420)
Tm (0.9140, 0.5806, 0.7419)
Sc (0.5000, 0.5000, 0.5000)
Er (0.6667, 0.3333, 0.0000)
Ho (0.0000, 0.0000, 0.0000)
Sc (0.8333, 0.1667, 0.5000)
Sc (0.1667, 0.8333, 0.5000)
Tm (0.5806, 0.9140, 0.7419)
Er (0.3333, 0.6667, 0.0000)

## Properties
- magnetization (μB per cell) = 0.0
- energy relative to the elements (eV/atom) = 0.04

In order of appearance, energy = -4.2069; -5.8521; -8.7191; -5.7799; -8.3885; -7.4654; -3.3553; -1.1825; -4.0813; -5.9829; -4.3179; -4.9166 eV/atom.